Entry 1:
KBaZn2Au2: relaxed, PBE.

Cell and atoms, written as POSCAR:
```
KBaZn2Au2
1.0
4.631 0.000 0.000
-2.315 4.010 0.000
0.000 0.000 9.363
K Ba Zn Au
1 1 2 2
direct
0.000 0.000 0.000
0.000 0.000 0.500
0.333 0.667 0.747
0.667 0.333 0.253
0.333 0.667 0.263
0.667 0.333 0.737
```

Output
The calculation puts the energy of formation from the pure elements at -2.340 eV/f.u. The value obtained for the density is 6.696 g cm⁻³. The calculation puts the total moment at 0.0 Bohr magnetons per cell. Its space group is P-3m1, No. 164.



Entry 2:
Ba3LaAu4: relaxed, PBE.

Cell and atoms, written as POSCAR:
```
Ba3LaAu4
1.0
3.958 0.000 0.000
0.000 3.958 0.000
0.000 0.000 15.981
Ba La Au
3 1 4
direct
0.000 0.000 0.000
0.000 0.000 0.256
0.000 0.000 0.744
0.000 0.000 0.500
0.500 0.500 0.127
0.500 0.500 0.400
0.500 0.500 0.600
0.500 0.500 0.873
```

Output
The calculation puts the energy of formation from the pure elements at -5.727 eV/f.u. The value obtained for the density is 8.882 g cm⁻³. The calculation puts the total moment at 0.0 Bohr magnetons per cell. Its space group is P4/mmm, No. 123.



Entry 3:
Ba2LaAu4: relaxed, PBE.

Cell and atoms, written as POSCAR:
```
Ba2LaAu4
1.0
-2.815 2.815 7.162
2.815 -2.815 7.162
2.815 2.815 -7.162
Ba La Au
2 1 4
direct
0.217 0.217 0.000
0.783 0.783 0.000
0.500 0.500 0.000
0.101 0.601 0.500
0.399 0.899 0.500
0.601 0.101 0.500
0.899 0.399 0.500
```

Output
The calculation puts the energy of formation from the pure elements at -4.167 eV/f.u. The value obtained for the density is 8.787 g cm⁻³. The calculation puts the total moment at 0.0 Bohr magnetons per cell. Its space group is I4/mmm, No. 139.



Entry 4:
BaLa2Au6: relaxed, PBE.

Cell and atoms, written as POSCAR:
```
BaLa2Au6
1.0
4.203 -7.290 0.000
4.203 7.290 0.000
0.000 0.000 3.793
Ba La Au
1 2 6
direct
0.000 0.000 0.000
0.333 0.667 0.000
0.667 0.333 0.000
0.000 0.337 0.500
0.000 0.663 0.500
0.336 0.336 0.500
0.337 0.000 0.500
0.663 0.000 0.500
0.664 0.664 0.500
```

Output
The calculation puts the energy of formation from the pure elements at -6.753 eV/f.u. The value obtained for the density is 11.409 g cm⁻³. The calculation puts the total moment at 0.0 Bohr magnetons per cell. Its space group is Cmmm, No. 65.



Entry 5:
BaLa2Au2: relaxed, PBE.

Cell and atoms, written as POSCAR:
```
BaLa2Au2
1.0
-2.650 2.650 5.968
2.650 -2.650 5.968
2.650 2.650 -5.968
Ba La Au
1 2 2
direct
0.000 0.000 0.000
0.250 0.750 0.500
0.750 0.250 0.500
0.383 0.383 0.000
0.617 0.617 0.000
```

Output
The calculation puts the energy of formation from the pure elements at -2.583 eV/f.u. The value obtained for the density is 8.013 g cm⁻³. The calculation puts the total moment at 0.0 Bohr magnetons per cell. Its space group is I4/mmm, No. 139.



Entry 6:
Ba4LaAu: relaxed, PBE.

Cell and atoms, written as POSCAR:
```
Ba4LaAu
1.0
0.000 5.257 5.257
5.257 0.000 5.257
5.257 5.257 0.000
Ba La Au
4 1 1
direct
0.125 0.125 0.125
0.125 0.125 0.625
0.125 0.625 0.125
0.625 0.125 0.125
0.750 0.750 0.750
0.500 0.500 0.500
```

Output
The calculation puts the energy of formation from the pure elements at 2.895 eV/f.u. The value obtained for the density is 5.058 g cm⁻³. The calculation puts the total moment at 3.2 Bohr magnetons per cell. Its space group is F-43m, No. 216.



Entry 7:
BaLaAu4: relaxed, PBE.

Cell and atoms, written as POSCAR:
```
BaLaAu4
1.0
-2.148 2.148 9.001
2.148 -2.148 9.001
2.148 2.148 -9.001
Ba La Au
1 1 4
direct
0.000 0.000 0.000
0.750 0.250 0.500
0.174 0.674 0.500
0.326 0.826 0.500
0.421 0.421 0.000
0.579 0.579 0.000
```

Output
The calculation puts the energy of formation from the pure elements at -4.187 eV/f.u. The value obtained for the density is 10.639 g cm⁻³. The calculation puts the total moment at 0.0 Bohr magnetons per cell. Its space group is I-4m2, No. 119.



Entry 8:
BaLa2Au2: relaxed, PBE.

Cell and atoms, written as POSCAR:
```
BaLa2Au2
1.0
8.801 0.000 0.000
0.000 8.801 0.000
0.000 0.000 4.051
Ba La Au
2 4 4
direct
0.000 0.000 0.000
0.500 0.500 0.000
0.157 0.343 0.500
0.343 0.843 0.500
0.657 0.157 0.500
0.843 0.657 0.500
0.126 0.626 0.000
0.374 0.126 0.000
0.626 0.874 0.000
0.874 0.374 0.000
```

Output
The calculation puts the energy of formation from the pure elements at -2.815 eV/f.u. The value obtained for the density is 8.562 g cm⁻³. The calculation puts the total moment at 0.0 Bohr magnetons per cell. Its space group is P4/mbm, No. 127.



Entry 9:
Ba2LaAu2: relaxed, PBE.

Cell and atoms, written as POSCAR:
```
Ba2LaAu2
1.0
8.280 0.000 0.000
0.000 8.280 0.000
0.000 0.000 5.093
Ba La Au
4 2 4
direct
0.164 0.336 0.000
0.336 0.836 0.000
0.664 0.164 0.000
0.836 0.664 0.000
0.000 0.000 0.500
0.500 0.500 0.500
0.140 0.640 0.500
0.360 0.140 0.500
0.640 0.860 0.500
0.860 0.360 0.500
```

Output
The calculation puts the energy of formation from the pure elements at -2.644 eV/f.u. The value obtained for the density is 7.680 g cm⁻³. The calculation puts the total moment at 0.0 Bohr magnetons per cell. Its space group is P4/mbm, No. 127.



Entry 10:
Ba2La2Au: relaxed, PBE.

Cell and atoms, written as POSCAR:
```
Ba2La2Au
1.0
7.948 0.000 0.000
0.000 7.948 0.000
0.000 0.000 6.479
Ba La Au
4 4 2
direct
0.176 0.324 0.000
0.324 0.824 0.000
0.676 0.176 0.000
0.824 0.676 0.000
0.148 0.648 0.500
0.352 0.148 0.500
0.648 0.852 0.500
0.852 0.352 0.500
0.000 0.000 0.500
0.500 0.500 0.500
```

Output
The calculation puts the energy of formation from the pure elements at -0.448 eV/f.u. The value obtained for the density is 6.082 g cm⁻³. The calculation puts the total moment at 0.0 Bohr magnetons per cell. Its space group is P4/mbm, No. 127.



Entry 11:
BaLa4Au: relaxed, PBE.

Cell and atoms, written as POSCAR:
```
BaLa4Au
1.0
0.000 4.725 4.725
4.725 0.000 4.725
4.725 4.725 0.000
Ba La Au
1 4 1
direct
0.000 0.000 0.000
0.138 0.621 0.621
0.621 0.138 0.621
0.621 0.621 0.138
0.621 0.621 0.621
0.250 0.250 0.250
```

Output
The calculation puts the energy of formation from the pure elements at 1.583 eV/f.u. The value obtained for the density is 7.005 g cm⁻³. The calculation puts the total moment at 0.0 Bohr magnetons per cell. Its space group is F-43m, No. 216.



Entry 12:
BaLaAu4: relaxed, PBE.

Cell and atoms, written as POSCAR:
```
BaLaAu4
1.0
0.000 4.184 4.184
4.184 0.000 4.184
4.184 4.184 0.000
Ba La Au
1 1 4
direct
0.000 0.000 0.000
0.750 0.750 0.750
0.375 0.375 0.375
0.375 0.375 0.874
0.375 0.874 0.375
0.874 0.375 0.375
```

Output
The calculation puts the energy of formation from the pure elements at -2.942 eV/f.u. The value obtained for the density is 12.060 g cm⁻³. The calculation puts the total moment at 0.0 Bohr magnetons per cell. Its space group is F-43m, No. 216.



Entry 13:
BaLa3Au: relaxed, PBE.

Cell and atoms, written as POSCAR:
```
BaLa3Au
1.0
5.997 0.000 0.000
0.000 5.997 0.000
0.000 0.000 5.997
Ba La Au
1 3 1
direct
0.000 0.000 0.000
0.000 0.500 0.500
0.500 0.000 0.500
0.500 0.500 0.000
0.500 0.500 0.500
```

Output
The calculation puts the energy of formation from the pure elements at -0.590 eV/f.u. The value obtained for the density is 5.784 g cm⁻³. The calculation puts the total moment at 0.0 Bohr magnetons per cell. Its space group is Pm-3m, No. 221.



Entry 14:
BaLa3Au: relaxed, PBE.

Cell and atoms, written as POSCAR:
```
BaLa3Au
1.0
5.860 0.000 0.000
0.000 5.860 0.000
0.000 0.000 5.860
Ba La Au
1 3 1
direct
0.000 0.000 0.000
0.000 0.000 0.500
0.000 0.500 0.000
0.500 0.000 0.000
0.500 0.500 0.500
```

Output
The calculation puts the energy of formation from the pure elements at 4.210 eV/f.u. The value obtained for the density is 6.196 g cm⁻³. The calculation puts the total moment at 0.0 Bohr magnetons per cell. Its space group is Pm-3m, No. 221.



Entry 15:
BaLa4Au5: relaxed, PBE.

Cell and atoms, written as POSCAR:
```
BaLa4Au5
1.0
3.818 0.000 0.000
0.000 3.818 0.000
0.000 0.000 19.278
Ba La Au
1 4 5
direct
0.000 0.000 0.000
0.000 0.000 0.207
0.000 0.000 0.403
0.000 0.000 0.597
0.000 0.000 0.793
0.500 0.500 0.120
0.500 0.500 0.304
0.500 0.500 0.500
0.500 0.500 0.696
0.500 0.500 0.880
```

Output
The calculation puts the energy of formation from the pure elements at -7.610 eV/f.u. The value obtained for the density is 9.913 g cm⁻³. The calculation puts the total moment at 0.0 Bohr magnetons per cell. Its space group is P4/mmm, No. 123.



Entry 16:
BaLa2Au2: relaxed, PBE.

Cell and atoms, written as POSCAR:
```
BaLa2Au2
1.0
-2.796 2.796 5.667
2.796 -2.796 5.667
2.796 2.796 -5.667
Ba La Au
1 2 2
direct
0.000 0.000 0.000
0.350 0.350 0.000
0.650 0.650 0.000
0.250 0.750 0.500
0.750 0.250 0.500
```

Output
The calculation puts the energy of formation from the pure elements at -2.111 eV/f.u. The value obtained for the density is 7.582 g cm⁻³. The calculation puts the total moment at 0.0 Bohr magnetons per cell. Its space group is I4/mmm, No. 139.



Entry 17:
BaLi2LaAu: relaxed, PBE.

Cell and atoms, written as POSCAR:
```
BaLi2LaAu
1.0
5.372 0.000 0.000
0.000 5.372 0.000
0.000 0.000 5.637
Ba Li La Au
1 2 1 1
direct
0.000 0.000 0.000
0.000 0.500 0.500
0.500 0.000 0.500
0.500 0.500 0.000
0.500 0.500 0.500
```

Output
The calculation puts the energy of formation from the pure elements at -0.769 eV/f.u. The value obtained for the density is 4.972 g cm⁻³. The calculation puts the total moment at 0.0 Bohr magnetons per cell. Its space group is P4/mmm, No. 123.



Entry 18:
BaLi2LaAu4: relaxed, PBE.

Cell and atoms, written as POSCAR:
```
BaLi2LaAu4
1.0
2.319 1.339 10.512
-2.319 1.339 10.512
0.000 -2.678 10.512
Ba Li La Au
1 2 1 4
direct
0.000 0.000 0.000
0.245 0.245 0.245
0.755 0.755 0.755
0.500 0.500 0.500
0.111 0.111 0.111
0.401 0.401 0.401
0.599 0.599 0.599
0.889 0.889 0.889
```

Output
The calculation puts the energy of formation from the pure elements at -5.489 eV/f.u. The value obtained for the density is 9.140 g cm⁻³. The calculation puts the total moment at 0.0 Bohr magnetons per cell. Its space group is R-3m, No. 166.



Entry 19:
BaLiLa2Au4: relaxed, PBE.

Cell and atoms, written as POSCAR:
```
BaLiLa2Au4
1.0
2.612 1.508 9.336
-2.612 1.508 9.336
0.000 -3.016 9.336
Ba Li La Au
1 1 2 4
direct
0.000 0.000 0.000
0.500 0.500 0.500
0.232 0.232 0.232
0.768 0.768 0.768
0.122 0.122 0.122
0.401 0.401 0.401
0.599 0.599 0.599
0.878 0.878 0.878
```

Output
The calculation puts the energy of formation from the pure elements at -5.453 eV/f.u. The value obtained for the density is 9.104 g cm⁻³. The calculation puts the total moment at 0.0 Bohr magnetons per cell. Its space group is R-3m, No. 166.



Entry 20:
BaLa2AuN: relaxed, PBE.

Cell and atoms, written as POSCAR:
```
BaLa2AuN
1.0
4.975 0.000 0.000
0.000 4.975 0.000
0.000 0.000 5.757
Ba La Au N
1 2 1 1
direct
0.000 0.000 0.000
0.000 0.500 0.500
0.500 0.000 0.500
0.500 0.500 0.000
0.000 0.000 0.500
```

Output
For the formation energy (no corrections), the calculation gives -649 meV per atom. The value obtained for the density is 7.296 g cm⁻³. The calculation puts the total moment at 0.0 Bohr magnetons per cell. Its space group is P4/mmm, No. 123.



Entry 21:
Ba2LaAuO5: relaxed, PBE.

Cell and atoms, written as POSCAR:
```
Ba2LaAuO5
1.0
1.886 -7.225 0.000
1.886 7.225 0.000
0.000 0.000 11.978
Ba La Au O
4 2 2 10
direct
0.094 0.906 0.500
0.144 0.856 0.113
0.856 0.144 0.613
0.906 0.094 0.000
0.208 0.792 0.833
0.792 0.208 0.333
0.479 0.521 0.259
0.521 0.479 0.759
0.059 0.941 0.887
0.271 0.729 0.458
0.339 0.661 0.204
0.381 0.619 0.800
0.483 0.517 0.593
0.517 0.483 0.093
0.619 0.381 0.300
0.661 0.339 0.704
0.729 0.271 0.958
0.941 0.059 0.387
```

Output
For the formation energy (no corrections), the calculation gives -2056 meV per atom. The value obtained for the density is 7.024 g cm⁻³. The calculation puts the total moment at 0.0 Bohr magnetons per cell. Its space group is Cmc2_1, No. 36.



Entry 22:
Ba2LaAu2O6: relaxed, PBE.

Cell and atoms, written as POSCAR:
```
Ba2LaAu2O6
1.0
3.212 1.855 6.213
-3.212 1.855 6.213
0.000 -3.709 6.213
Ba La Au O
2 1 2 6
direct
0.207 0.207 0.207
0.793 0.793 0.793
0.000 0.000 0.000
0.419 0.419 0.419
0.581 0.581 0.581
0.205 0.759 0.759
0.241 0.241 0.795
0.241 0.795 0.241
0.759 0.205 0.759
0.759 0.759 0.205
0.795 0.241 0.241
```

Output
For the formation energy (no corrections), the calculation gives -1530 meV per atom. The value obtained for the density is 6.755 g cm⁻³. The calculation puts the total moment at 3.0 Bohr magnetons per cell. Its space group is R-3m, No. 166.



Entry 23:
BaLa2AuO5: relaxed, PBE.

Cell and atoms, written as POSCAR:
```
BaLa2AuO5
1.0
6.948 0.000 0.000
0.000 6.948 0.000
0.000 0.000 6.232
Ba La Au O
2 4 2 10
direct
0.000 0.000 0.000
0.500 0.500 0.000
0.175 0.325 0.500
0.325 0.825 0.500
0.675 0.175 0.500
0.825 0.675 0.500
0.000 0.500 0.000
0.500 0.000 0.000
0.000 0.000 0.500
0.148 0.648 0.255
0.148 0.648 0.745
0.352 0.148 0.255
0.352 0.148 0.745
0.500 0.500 0.500
0.648 0.852 0.255
0.648 0.852 0.745
0.852 0.352 0.255
0.852 0.352 0.745
```

Output
For the formation energy (no corrections), the calculation gives -2442 meV per atom. The value obtained for the density is 7.639 g cm⁻³. The calculation puts the total moment at 2.0 Bohr magnetons per cell. Its space group is P4/mbm, No. 127.



Entry 24:
BaLaPAu2: relaxed, PBE.

Cell and atoms, written as POSCAR:
```
BaLaPAu2
1.0
5.097 0.000 0.000
0.000 5.097 0.000
0.000 0.000 5.428
Ba La P Au
1 1 1 2
direct
0.000 0.000 0.000
0.500 0.500 0.000
0.500 0.500 0.500
0.000 0.500 0.500
0.500 0.000 0.500
```

Output
The calculation puts the energy of formation from the pure elements at -1.757 eV/f.u. The value obtained for the density is 8.257 g cm⁻³. The calculation puts the total moment at 0.0 Bohr magnetons per cell. Its space group is P4/mmm, No. 123.



Entry 25:
BaLaPbAu: relaxed, PBE.

Cell and atoms, written as POSCAR:
```
BaLaPbAu
1.0
0.000 4.044 4.044
4.044 0.000 4.044
4.044 4.044 0.000
Ba La Pb Au
1 1 1 1
direct
0.000 0.000 0.000
0.500 0.500 0.500
0.750 0.750 0.750
0.250 0.250 0.250
```

Output
The calculation puts the energy of formation from the pure elements at -2.370 eV/f.u. The value obtained for the density is 8.543 g cm⁻³. The calculation puts the total moment at 0.0 Bohr magnetons per cell. Its space group is F-43m, No. 216.